Record 1
## AlCd3Ir (GGA-PBE)

Data for a geometry-optimized AlCd3Ir structure.

Cell: 5.1975 5.1975 5.1975 Å, 90.00 90.00 90.00°
Sites, in units of the cell vectors:
Al 0.0000 0.0000 0.0000
Cd 0.0000 0.5000 0.5000
Cd 0.5000 0.0000 0.5000
Cd 0.5000 0.5000 0.0000
Ir 0.5000 0.5000 0.5000

energy of formation from the pure elements	2.5	eV per formula unit
distance to the lowest polymorph of the same formula	0.000	eV/atom
V	140.4	Å³ per cell



Record 2
## Hf3MoP (GGA-PBE)

Data for a geometry-optimized Hf3MoP structure.

Cell: 4.9670 4.9670 4.9670 Å, 90.00 90.00 90.00°
Sites, in units of the cell vectors:
Hf 0.0000 0.0000 0.5000
Hf 0.0000 0.5000 0.0000
Hf 0.5000 0.0000 0.0000
Mo 0.0000 0.0000 0.0000
P 0.5000 0.5000 0.5000

energy of formation from the pure elements	4.6	eV per formula unit
distance to the lowest polymorph of the same formula	0.789	eV/atom
V	122.5	Å³ per cell



Record 3
## Ba2MgB (GGA-PBE)

Data for a geometry-optimized Ba2MgB structure.

Cell: 5.6748 5.6748 5.6748 Å, 60.00 60.00 60.00°
Sites, in units of the cell vectors:
Ba 0.2500 0.2500 0.2500
Ba 0.7500 0.7500 0.7500
Mg 0.0000 0.0000 0.0000
B 0.5000 0.5000 0.5000

energy of formation from the pure elements	2.5	eV per formula unit
distance to the lowest polymorph of the same formula	0.250	eV/atom
V	129.2	Å³ per cell



Record 4
## Be2FeBr (GGA-PBE)

Data for a geometry-optimized Be2FeBr structure.

Cell: 4.9138 4.9138 2.9876 Å, 104.69 104.69 119.00°
Sites, in units of the cell vectors:
Be 0.0000 0.5000 0.0000
Be 0.5000 0.0000 0.0000
Fe 0.0000 0.0000 0.0000
Br 0.5000 0.5000 0.0000

distance to the lowest polymorph of the same formula	0.505	eV/atom
V	54.7	Å³ per cell



Record 5
## Cd2AgCl6 (GGA-PBE)

Data for a geometry-optimized Cd2AgCl6 structure.

Cell: 8.3520 8.3520 7.3404 Å, 90.21 90.21 82.90°
Sites, in units of the cell vectors:
Cd 0.1392 0.2898 0.4256
Cd 0.2898 0.1392 0.9256
Cd 0.7102 0.8608 0.0744
Cd 0.8608 0.7102 0.5744
Ag 0.4084 0.5916 0.2500
Ag 0.5916 0.4084 0.7500
Cl 0.0425 0.2019 0.1197
Cl 0.1215 0.6036 0.3619
Cl 0.2019 0.0425 0.6197
Cl 0.3094 0.4455 0.8564
Cl 0.3964 0.8785 0.1381
Cl 0.4455 0.3094 0.3564
Cl 0.5545 0.6906 0.6436
Cl 0.6036 0.1215 0.8619
Cl 0.6906 0.5545 0.1436
Cl 0.7981 0.9575 0.3803
Cl 0.8785 0.3964 0.6381
Cl 0.9575 0.7981 0.8803

distance to the lowest polymorph of the same formula	0.000	eV/atom
V	508.1	Å³ per cell



Record 6
## Er4CdHg2 (GGA-PBE)

Data for a geometry-optimized Er4CdHg2 structure.

Cell: 9.9159 9.9159 9.9159 Å, 29.23 29.23 29.23°
Sites, in units of the cell vectors:
Er 0.1202 0.1202 0.1202
Er 0.2949 0.2949 0.2949
Er 0.7051 0.7051 0.7051
Er 0.8798 0.8798 0.8798
Cd 0.5000 0.5000 0.5000
Hg 0.3999 0.3999 0.3999
Hg 0.6001 0.6001 0.6001

energy of formation from the pure elements	-0.7	eV per formula unit
distance to the lowest polymorph of the same formula	0.161	eV/atom
V	205.8	Å³ per cell



Record 7
## LaSc2Al (GGA-PBE)

Data for a geometry-optimized LaSc2Al structure.

Cell: 5.1275 5.1275 3.6754 Å, 90.00 90.00 90.00°
Sites, in units of the cell vectors:
La 0.0000 0.0000 0.0000
Sc 0.0000 0.5000 0.5000
Sc 0.5000 0.0000 0.5000
Al 0.5000 0.5000 0.0000

energy of formation from the pure elements	-0.1	eV per formula unit
V	96.6	Å³ per cell



Record 8
## Pm2Tm2Sc15 (GGA-PBE)

Data for a geometry-optimized Pm2Tm2Sc15 structure.

Cell: 8.1411 8.1411 8.1411 Å, 81.62 81.62 81.62°
Sites, in units of the cell vectors:
Pm 0.1621 0.1621 0.1621
Pm 0.8379 0.8379 0.8379
Tm 0.3920 0.3920 0.3920
Tm 0.6080 0.6080 0.6080
Sc 0.0000 0.5000 0.5000
Sc 0.1376 0.1376 0.6528
Sc 0.1376 0.6528 0.1376
Sc 0.1992 0.5000 0.8008
Sc 0.1992 0.8008 0.5000
Sc 0.3472 0.8624 0.8624
Sc 0.5000 0.0000 0.5000
Sc 0.5000 0.1992 0.8008
Sc 0.5000 0.5000 0.0000
Sc 0.5000 0.8008 0.1992
Sc 0.6528 0.1376 0.1376
Sc 0.8008 0.1992 0.5000
Sc 0.8008 0.5000 0.1992
Sc 0.8624 0.3472 0.8624
Sc 0.8624 0.8624 0.3472

energy of formation from the pure elements	4.5	eV per formula unit
V	523.8	Å³ per cell



Record 9
## BaCd3Sb3 (GGA-PBE)

Data for a geometry-optimized BaCd3Sb3 structure.

Cell: 6.3614 8.3922 9.2371 Å, 112.46 99.78 98.99°
Sites, in units of the cell vectors:
Ba 0.1676 0.3817 0.1654
Ba 0.8324 0.6183 0.8346
Cd 0.1215 0.8435 0.4124
Cd 0.2599 0.0071 0.8289
Cd 0.4031 0.2125 0.4986
Cd 0.5969 0.7875 0.5014
Cd 0.7401 0.9929 0.1711
Cd 0.8785 0.1565 0.5876
Sb 0.2233 0.6258 0.6008
Sb 0.2468 0.9718 0.1622
Sb 0.3070 0.3548 0.8050
Sb 0.6930 0.6452 0.1950
Sb 0.7532 0.0282 0.8378
Sb 0.7767 0.3742 0.3992

distance to the lowest polymorph of the same formula	0.071	eV/atom
V	435.6	Å³ per cell



Record 10
## Tb2Pr4Hg (GGA-PBE)

Data for a geometry-optimized Tb2Pr4Hg structure.

Cell: 8.5846 8.5846 8.6889 Å, 116.83 116.83 24.35°
Sites, in units of the cell vectors:
Tb 0.2151 0.2151 0.1368
Tb 0.7849 0.7849 0.8632
Pr 0.0843 0.0843 0.7028
Pr 0.3716 0.3716 0.6181
Pr 0.6284 0.6284 0.3819
Pr 0.9157 0.9157 0.2972
Hg 0.0000 0.0000 0.0000

energy of formation from the pure elements	-0.1	eV per formula unit
V	234.2	Å³ per cell



Record 11
## HfNb3Co8 (GGA-PBE)

Data for a geometry-optimized HfNb3Co8 structure.

Cell: 4.8077 4.8077 7.7961 Å, 90.00 90.00 120.00°
Sites, in units of the cell vectors:
Hf 0.0000 0.0000 0.0000
Nb 0.0000 0.0000 0.3798
Nb 0.6667 0.3333 0.4976
Nb 0.6667 0.3333 0.8629
Co 0.1652 0.3304 0.6857
Co 0.1652 0.8348 0.6857
Co 0.3333 0.6667 0.4358
Co 0.3333 0.6667 0.9381
Co 0.5026 0.0053 0.1872
Co 0.5026 0.4974 0.1872
Co 0.6696 0.8348 0.6857
Co 0.9947 0.4974 0.1872

energy of formation from the pure elements	-2.5	eV per formula unit
V	156.1	Å³ per cell



Record 12
## Cs3ZnAs (GGA-PBE)

Data for a geometry-optimized Cs3ZnAs structure.

Cell: 12.9484 12.9484 12.9484 Å, 52.49 147.08 140.30°
Sites, in units of the cell vectors:
Cs 0.1090 0.0994 0.2085
Cs 0.1090 0.4006 0.5096
Cs 0.4362 0.8190 0.1172
Cs 0.7017 0.3190 0.8828
Cs 0.8910 0.5994 0.4904
Cs 0.8910 0.9006 0.7915
Zn 0.0515 0.9558 0.5957
Zn 0.3601 0.4558 0.4043
As 0.0704 0.1777 0.3926
As 0.7851 0.6777 0.6074

energy of formation from the pure elements	-0.8	eV per formula unit
distance to the lowest polymorph of the same formula	0.000	eV/atom
V	749.3	Å³ per cell



Record 13
## LaMn (GGA-PBE)

Data for a geometry-optimized LaMn structure.

Cell: 5.9973 5.9973 5.9798 Å, 90.00 90.00 90.00°
Sites, in units of the cell vectors:
La 0.1889 0.1889 0.0000
La 0.3111 0.6889 0.5000
La 0.6889 0.3111 0.5000
La 0.8111 0.8111 0.0000
Mn 0.1535 0.1535 0.5000
Mn 0.3465 0.6535 0.0000
Mn 0.6535 0.3465 0.0000
Mn 0.8465 0.8465 0.5000

energy of formation from the pure elements	1.0	eV per formula unit
V	215.1	Å³ per cell



Record 14
## CuAs2Se (GGA-PBE)

Data for a geometry-optimized CuAs2Se structure.

Cell: 6.3574 6.3574 6.3574 Å, 34.96 34.96 34.96°
Sites, in units of the cell vectors:
Cu 0.0000 0.0000 0.0000
As 0.2666 0.2666 0.2666
As 0.7334 0.7334 0.7334
Se 0.5000 0.5000 0.5000

electronic total energy	-16.3	eV per cell
V	75.3	Å³ per cell



Record 15
## FeMo (GGA-PBE)

Data for a geometry-optimized FeMo structure.

Cell: 4.1804 4.1804 7.5416 Å, 90.00 90.00 120.00°
Sites, in units of the cell vectors:
Fe 0.0000 0.0000 0.2500
Fe 0.0000 0.0000 0.7500
Fe 0.3333 0.6667 0.2500
Fe 0.6667 0.3333 0.7500
Mo 0.3333 0.6667 0.5756
Mo 0.3333 0.6667 0.9244
Mo 0.6667 0.3333 0.0756
Mo 0.6667 0.3333 0.4244

energy of formation from the pure elements	0.8	eV per formula unit
V	114.1	Å³ per cell